## TbInIr2 (GGA-PBE)

Data for crystalline TbInIr2 at its relaxed geometry.

Values from the calculation:
DOS at the Fermi energy: 0.15 states/eV per atom
calculated total energy: -6.783 eV/atom
calculated density: 14.760 g/cm3

a b c (Å): 4.478 4.478 3.693
angles (deg): 90.00 90.00 90.00
Positions (direct):
Tb1 0.000 0.000 0.000
In1 0.500 0.500 0.000
Ir1 0.000 0.500 0.500
Ir2 0.500 0.000 0.500